[1]
The following is a DFT calculation (GGA-PBE) of crystalline SrZr2Cu at its relaxed geometry.

Values from the calculation:
DOS(E_F) = 0.923 states/eV per atom
energy above the most stable polymorph in this dataset = 8.9 kJ/mol of atoms
magnetization = 0.00 μB per formula unit
calculated volume = 24.205 Å³/atom
E_tot = -5.531 eV per atom

Geometry as CIF:
```
data_SrZr2Cu
_symmetry_space_group_name_H-M 'I m m m'
_symmetry_Int_Tables_number 71
_symmetry_space_group_name_Hall '-I 2 2'
_cell_length_a 3.259
_cell_length_b 5.195
_cell_length_c 11.436
_cell_angle_alpha 90.00
_cell_angle_beta 90.00
_cell_angle_gamma 90.00
loop_
_atom_site_label
_atom_site_type_symbol
_atom_site_fract_x
_atom_site_fract_y
_atom_site_fract_z
Sr1 Sr 0.000 0.000 0.000
Zr1 Zr 0.000 0.500 0.209
Cu1 Cu 0.000 0.000 0.500
```

---

[2]
The following is a DFT calculation (GGA-PBE) of crystalline SrZr3Cu at its relaxed geometry.

Values from the calculation:
DOS(E_F) = 1.634 states/eV per atom
energy above the most stable polymorph in this dataset = 0.0 kJ/mol of atoms
magnetization = 0.76 μB per formula unit
calculated volume = 26.893 Å³/atom
E_tot = -5.754 eV per atom

Geometry as CIF:
```
data_SrZr3Cu
_symmetry_space_group_name_H-M 'P m -3 m'
_symmetry_Int_Tables_number 221
_symmetry_space_group_name_Hall '-P 4 2 3'
_cell_length_a 5.123
_cell_length_b 5.123
_cell_length_c 5.123
_cell_angle_alpha 90.00
_cell_angle_beta 90.00
_cell_angle_gamma 90.00
loop_
_atom_site_label
_atom_site_type_symbol
_atom_site_fract_x
_atom_site_fract_y
_atom_site_fract_z
Sr1 Sr 0.000 0.000 0.000
Zr1 Zr 0.000 0.500 0.500
Cu1 Cu 0.500 0.500 0.500
```

---

[3]
The following is a DFT calculation (GGA-PBE) of crystalline SrZr2Cu at its relaxed geometry.

Values from the calculation:
DOS(E_F) = 1.031 states/eV per atom
energy above the most stable polymorph in this dataset = 36.9 kJ/mol of atoms
magnetization = 0.00 μB per formula unit
calculated volume = 24.490 Å³/atom
E_tot = -5.241 eV per atom

Geometry as CIF:
```
data_SrZr2Cu
_symmetry_space_group_name_H-M 'C 1 2/m 1'
_symmetry_Int_Tables_number 12
_symmetry_space_group_name_Hall '-C 2y'
_cell_length_a 6.002
_cell_length_b 11.813
_cell_length_c 3.204
_cell_angle_alpha 90.00
_cell_angle_beta 120.40
_cell_angle_gamma 90.00
loop_
_atom_site_label
_atom_site_type_symbol
_atom_site_fract_x
_atom_site_fract_y
_atom_site_fract_z
Sr1 Sr 0.000 0.000 0.000
Zr1 Zr 0.250 0.250 0.500
Cu1 Cu 0.000 0.500 0.000
```

---

[4]
The following is a DFT calculation (GGA-PBE) of crystalline Sr4ZrCu at its relaxed geometry.

Values from the calculation:
DOS(E_F) = 1.815 states/eV per atom
magnetization = 4.30 μB per formula unit
calculated volume = 41.087 Å³/atom
E_tot = -2.251 eV per atom

Geometry as CIF:
```
data_Sr4ZrCu
_symmetry_space_group_name_H-M 'F -4 3 m'
_symmetry_Int_Tables_number 216
_symmetry_space_group_name_Hall 'F -4 2 3'
_cell_length_a 9.953
_cell_length_b 9.953
_cell_length_c 9.953
_cell_angle_alpha 90.00
_cell_angle_beta 90.00
_cell_angle_gamma 90.00
loop_
_atom_site_label
_atom_site_type_symbol
_atom_site_fract_x
_atom_site_fract_y
_atom_site_fract_z
Sr1 Sr 0.124 0.124 0.124
Zr1 Zr 0.250 0.250 0.750
Cu1 Cu 0.000 0.000 0.500
```

---

[5]
The following is a DFT calculation (GGA-PBE) of crystalline SrZr2Cu at its relaxed geometry.

Values from the calculation:
DOS(E_F) = 1.010 states/eV per atom
energy above the most stable polymorph in this dataset = 31.6 kJ/mol of atoms
magnetization = 0.00 μB per formula unit
calculated volume = 24.223 Å³/atom
E_tot = -5.295 eV per atom

Geometry as CIF:
```
data_SrZr2Cu
_symmetry_space_group_name_H-M 'P 1 2/m 1'
_symmetry_Int_Tables_number 10
_symmetry_space_group_name_Hall '-P 2y'
_cell_length_a 3.351
_cell_length_b 5.398
_cell_length_c 5.397
_cell_angle_alpha 90.00
_cell_angle_beta 97.07
_cell_angle_gamma 90.00
loop_
_atom_site_label
_atom_site_type_symbol
_atom_site_fract_x
_atom_site_fract_y
_atom_site_fract_z
Sr1 Sr 0.000 0.000 0.000
Zr1 Zr 0.318 0.500 0.721
Cu1 Cu 0.500 0.000 0.500
```

---

[6]
The following is a DFT calculation (GGA-PBE) of crystalline SrZr2Cu at its relaxed geometry.

Values from the calculation:
DOS(E_F) = 1.228 states/eV per atom
energy above the most stable polymorph in this dataset = 39.5 kJ/mol of atoms
magnetization = 0.00 μB per formula unit
calculated volume = 24.596 Å³/atom
E_tot = -5.214 eV per atom

Geometry as CIF:
```
data_SrZr2Cu
_symmetry_space_group_name_H-M 'I 4/m m m'
_symmetry_Int_Tables_number 139
_symmetry_space_group_name_Hall '-I 4 2'
_cell_length_a 4.241
_cell_length_b 4.241
_cell_length_c 10.938
_cell_angle_alpha 90.00
_cell_angle_beta 90.00
_cell_angle_gamma 90.00
loop_
_atom_site_label
_atom_site_type_symbol
_atom_site_fract_x
_atom_site_fract_y
_atom_site_fract_z
Sr1 Sr 0.000 0.000 0.000
Zr1 Zr 0.000 0.500 0.250
Cu1 Cu 0.000 0.000 0.500
```

---

Quick rundown of ΔH_f (0 K), same order as above: 0.187 0.530 0.478 0.977 0.424 0.505 eV/atom